[1]
# VI2BrN

A relaxed structure of VI2BrN (PBE, the Alexandria database).

Cell lengths 6.2354, 6.2354, 3.7135 Å; angles 90.00, 90.00, 90.00 degrees
Closest atoms and distances in Å follow each position.
Fractional positions:
V (0.0000, 0.0000, 0.0000)  8 I 3.63, 2 V 3.71
I (0.0000, 0.5000, 0.5000)  2 Br 3.12
I (0.5000, 0.0000, 0.5000)  2 Br 3.12
Br (0.5000, 0.5000, 0.5000)  2 N 1.86
N (0.5000, 0.5000, 0.0000)  2 Br 1.86

Summary:
uncorrected energy: -0.201 Ry/atom
energy relative to the elements, uncorrected: 1.702 eV/atom

[2]
# Cs2Np2NiS6

A relaxed structure of Cs2Np2NiS6 (PBE, the Alexandria database).

Cell lengths 6.7001, 6.7001, 8.5478 Å; angles 97.57, 97.57, 120.14 degrees
Closest atoms and distances in Å follow each position.
Fractional positions:
Cs (0.1652, 0.8348, 0.0000)  6 S 3.49-3.55, 3 Cs 3.84-3.88
Cs (0.8348, 0.1652, 0.0000)  6 S 3.49-3.55, 3 Cs 3.84-3.88
Np (0.3331, 0.6669, 0.5000)  6 S 2.67-2.69
Np (0.6669, 0.3331, 0.5000)  6 S 2.67-2.69
Ni (0.0000, 0.0000, 0.5000)  6 S 2.46-2.59
S (0.0591, 0.3812, 0.6731)  1 Ni 2.59, 2 Np 2.67-2.68
S (0.2519, 0.2519, 0.3359)  1 Ni 2.46, 2 Np 2.69
S (0.3812, 0.0591, 0.6731)  1 Ni 2.59, 2 Np 2.67-2.68
S (0.6188, 0.9409, 0.3269)  1 Ni 2.59, 2 Np 2.67-2.68
S (0.7481, 0.7481, 0.6641)  1 Ni 2.46, 2 Np 2.69
S (0.9409, 0.6188, 0.3269)  1 Ni 2.59, 2 Np 2.67-2.68

Summary:
uncorrected energy: -0.466 Ry/atom
energy relative to the elements, uncorrected: -1.055 eV/atom

[3]
# Cs2WBr

A relaxed structure of Cs2WBr (PBE, the Alexandria database).

Cell lengths 6.4093, 6.4093, 6.4093 Å; angles 60.00, 60.00, 60.00 degrees
Closest atoms and distances in Å follow each position.
Fractional positions:
Cs (0.2500, 0.2500, 0.2500)  4 Br 3.92, 4 W 3.92
Cs (0.7500, 0.7500, 0.7500)  4 Br 3.92, 4 W 3.92
W (0.0000, 0.0000, 0.0000)  8 Cs 3.92
Br (0.5000, 0.5000, 0.5000)  8 Cs 3.92

Summary:
uncorrected energy: -0.245 Ry/atom
energy relative to the elements, uncorrected: 0.752 eV/atom

[4]
# Nd8Cd3Ir2

A relaxed structure of Nd8Cd3Ir2 (PBE, the Alexandria database).

Cell lengths 9.1688, 9.1688, 6.3985 Å; angles 98.52, 98.52, 49.33 degrees
Closest atoms and distances in Å follow each position.
Fractional positions:
Nd (0.0782, 0.0782, 0.3058)  1 Ir 2.80
Nd (0.0991, 0.6065, 0.1366)  2 Ir 2.85-2.94, 1 Cd 3.15
Nd (0.3098, 0.3098, 0.6223)  1 Ir 2.93
Nd (0.3935, 0.9009, 0.8634)  2 Ir 2.85-2.94, 1 Cd 3.15
Nd (0.6065, 0.0991, 0.1366)  2 Ir 2.85-2.94, 1 Cd 3.15
Nd (0.6902, 0.6902, 0.3777)  1 Ir 2.93
Nd (0.9009, 0.3935, 0.8634)  2 Ir 2.85-2.94, 1 Cd 3.15
Nd (0.9218, 0.9218, 0.6942)  1 Ir 2.80
Cd (0.3249, 0.6751, 0.5000)  1 Cd 2.68
Cd (0.5000, 0.5000, 0.0000)  6 Nd 3.35-3.66, 4 Cd 3.47
Cd (0.6751, 0.3249, 0.5000)  1 Cd 2.68
Ir (0.2311, 0.2311, 0.1774)  6 Nd 2.80-2.94
Ir (0.7689, 0.7689, 0.8226)  6 Nd 2.80-2.94

Summary:
uncorrected energy: -0.353 Ry/atom
formation energy: -0.29 eV/atom

[5]
# CaGaTc2Rh

A relaxed structure of CaGaTc2Rh (PBE, the Alexandria database).

Cell lengths 4.8151, 4.8151, 4.7150 Å; angles 90.00, 90.00, 90.00 degrees
Closest atoms and distances in Å follow each position.
Fractional positions:
Ca (0.0000, 0.0000, 0.0000)  2 Rh 2.36, 4 Tc 2.41
Ga (0.5000, 0.5000, 0.5000)  8 Tc 3.37, 4 Rh 3.40
Tc (0.0000, 0.5000, 0.0000)  2 Ca 2.41
Tc (0.5000, 0.0000, 0.0000)  2 Ca 2.41
Rh (0.0000, 0.0000, 0.5000)  2 Ca 2.36

Summary:
uncorrected energy: -0.333 Ry/atom
formation energy: 2.10 eV/atom

[6]
# RbCaOs2

A relaxed structure of RbCaOs2 (PBE, the Alexandria database).

Cell lengths 10.9070, 10.9070, 10.9070 Å; angles 154.94, 154.94, 35.73 degrees
Closest atoms and distances in Å follow each position.
Fractional positions:
Rb (0.0000, 0.0000, 0.0000)  4 Ca 3.35, 4 Os 3.53
Rb (0.7500, 0.2500, 0.5000)  4 Ca 3.35, 4 Os 3.53
Ca (0.2500, 0.7500, 0.5000)  4 Os 2.87
Ca (0.5000, 0.5000, 0.0000)  4 Os 2.87
Os (0.3155, 0.6250, 0.1905)  2 Os 2.43
Os (0.3750, 0.5655, 0.6905)  2 Os 2.43
Os (0.4345, 0.1250, 0.8095)  2 Os 2.43
Os (0.8750, 0.6845, 0.3095)  2 Os 2.43

Summary:
uncorrected energy: -0.368 Ry/atom
formation energy: 1.35 eV/atom